Record 1
The following is a GGA-PBEsol calculation of CaAlOsRh2 after structural relaxation, from the Alexandria database.

The calculation puts the formation energy at 194.6 kJ per mole of atoms. For the density of states at the Fermi level, the calculation gives 6.97 states/eV/cell.

Cell lengths 4.537, 4.537, 4.663 Å; angles 90.00, 90.00, 90.00 degrees
Space group P4/mmm (No. 123)
Symmetry-distinct sites (fractional):
1 Ca 0.000 0.000 0.000 [1 per cell]
2 Al 0.500 0.500 0.500 [1 per cell]
3 Os 0.000 0.000 0.500 [1 per cell]
4 Rh 0.000 0.500 0.000 [2 per cell]

---

Record 2
The following is a GGA-PBEsol calculation of Ba2ZrBeIn after structural relaxation, from the Alexandria database.

The calculation puts the formation energy at 60.3 kJ per mole of atoms. For the density of states at the Fermi level, the calculation gives 6.50 states/eV/cell.

Cell lengths 6.084, 6.084, 4.534 Å; angles 90.00, 90.00, 90.00 degrees
Space group P4/mmm (No. 123)
Symmetry-distinct sites (fractional):
1 Ba 0.000 0.500 0.000 [2 per cell]
2 Zr 0.000 0.000 0.500 [1 per cell]
3 Be 0.500 0.500 0.000 [1 per cell]
4 In 0.500 0.500 0.500 [1 per cell]

---

Copy entry 1 word for word.
The following is a GGA-PBEsol calculation of CaAlOsRh2 after structural relaxation, from the Alexandria database.

The calculation puts the formation energy at 194.6 kJ per mole of atoms. For the density of states at the Fermi level, the calculation gives 6.97 states/eV/cell.

Cell lengths 4.537, 4.537, 4.663 Å; angles 90.00, 90.00, 90.00 degrees
Space group P4/mmm (No. 123)
Symmetry-distinct sites (fractional):
1 Ca 0.000 0.000 0.000 [1 per cell]
2 Al 0.500 0.500 0.500 [1 per cell]
3 Os 0.000 0.000 0.500 [1 per cell]
4 Rh 0.000 0.500 0.000 [2 per cell]